Record 1
Compound: TmMgInSn
Source: Alexandria
Functional: PBE
Structure: optimized geometry

Properties
Calculated volume, A^3/atom: 25.1
Distance to the lowest polymorph of the same formula, meV per atom: 169
ΔH_f (0 K), eV/atom: -0.244

a b c (Å): 5.217 5.217 5.217
angles (deg): 60.00 60.00 60.00
Positions (direct):
Tm 0.000 0.000 0.000
Sn 0.250 0.250 0.250
In 0.750 0.750 0.750
Mg 0.500 0.500 0.500

=====

Record 2
Compound: Na3MgGa
Source: Alexandria
Functional: PBE
Structure: optimized geometry

Properties
Calculated volume, A^3/atom: 36.1
ΔH_f (0 K), eV/atom: 0.317

a b c (Å): 5.654 5.654 5.654
angles (deg): 90.00 90.00 90.00
Positions (direct):
Na 0.000 0.500 0.000
Mg 0.500 0.500 0.500
Na 0.000 0.000 0.500
Na 0.500 0.000 0.000
Ga 0.000 0.000 0.000